Material: TbY2Th
Method: DFT, PBE
State: optimized geometry

Results
The value obtained for the distance to the lowest polymorph of the same formula is 0.03 eV per formula unit. Its symmetry is P4/mmm, No. 123. For the energy relative to the elements, the calculation gives 0.030 eV/atom.

The structure in POSCAR format:
```
TbY2Th
1.0
3.566 0.000 0.000
0.000 3.566 0.000
0.000 0.000 10.168
Tb Y Th
1 2 1
Direct
0.000 0.000 0.000 Tb
0.500 0.500 0.255 Y
0.500 0.500 0.745 Y
0.000 0.000 0.500 Th
```

Material: Hf2Pt2Au
Method: DFT, PBE
State: optimized geometry

Results
The value obtained for the distance to the lowest polymorph of the same formula is 1.06 eV per formula unit. Its symmetry is P4/mbm, No. 127. For the energy relative to the elements, the calculation gives -0.727 eV/atom.

The structure in POSCAR format:
```
Hf2Pt2Au
1.0
7.645 0.000 0.000
0.000 7.645 0.000
0.000 0.000 3.329
Hf Pt Au
4 4 2
Direct
0.160 0.340 0.000 Hf
0.340 0.840 0.000 Hf
0.660 0.160 0.000 Hf
0.840 0.660 0.000 Hf
0.133 0.633 0.500 Pt
0.367 0.133 0.500 Pt
0.633 0.867 0.500 Pt
0.867 0.367 0.500 Pt
0.000 0.000 0.000 Au
0.500 0.500 0.000 Au
```

Material: Na4Sc3AlO8
Method: DFT, PBE
State: optimized geometry

Results
For the energy relative to the elements, uncorrected, the calculation gives -2.73 eV per atom. Its symmetry is R-3m, No. 166.

The structure in POSCAR format:
```
Na4Sc3AlO8
1.0
3.119 1.801 5.458
-3.119 1.801 5.458
0.000 -3.602 5.458
Na Sc Al O
4 3 1 8
Direct
0.000 0.000 0.000 Na
0.000 0.500 0.500 Na
0.500 0.000 0.500 Na
0.500 0.500 0.000 Na
0.000 0.000 0.500 Sc
0.000 0.500 0.000 Sc
0.500 0.000 0.000 Sc
0.500 0.500 0.500 Al
0.235 0.235 0.235 O
0.250 0.724 0.724 O
0.276 0.276 0.750 O
0.276 0.750 0.276 O
0.724 0.250 0.724 O
0.724 0.724 0.250 O
0.750 0.276 0.276 O
0.765 0.765 0.765 O
```

Material: CdInH3
Method: DFT, PBE
State: optimized geometry

Results
The value obtained for the distance to the lowest polymorph of the same formula is 0.00 eV per formula unit. Its symmetry is Pm-3m, No. 221.

The structure in POSCAR format:
```
CdInH3
1.0
4.110 0.000 0.000
0.000 4.110 0.000
0.000 0.000 4.110
Cd In H
1 1 3
Direct
0.000 0.000 0.000 Cd
0.500 0.500 0.500 In
0.000 0.000 0.500 H
0.000 0.500 0.000 H
0.500 0.000 0.000 H
```

Material: BaIn8Sn2
Method: DFT, PBE
State: optimized geometry

Results
Its symmetry is P4/mmm, No. 123. For the energy relative to the elements, the calculation gives 0.038 eV/atom.

The structure in POSCAR format:
```
BaIn8Sn2
1.0
6.208 0.000 0.000
0.000 6.208 0.000
0.000 0.000 10.331
Ba In Sn
1 8 2
Direct
0.000 0.000 0.000 Ba
0.253 0.253 0.281 In
0.253 0.253 0.719 In
0.253 0.747 0.281 In
0.253 0.747 0.719 In
0.747 0.253 0.281 In
0.747 0.253 0.719 In
0.747 0.747 0.281 In
0.747 0.747 0.719 In
0.000 0.500 0.500 Sn
0.500 0.000 0.500 Sn
```

Material: TaNbB2
Method: DFT, PBE
State: optimized geometry

Results
The value obtained for the distance to the lowest polymorph of the same formula is 5.45 eV per formula unit. Its symmetry is I-42d, No. 122. For the energy relative to the elements, the calculation gives 0.558 eV/atom.

The structure in POSCAR format:
```
TaNbB2
1.0
5.026 0.000 0.000
0.000 5.026 0.000
0.000 0.000 9.943
Ta Nb B
4 4 8
Direct
0.000 0.000 0.000 Ta
0.000 0.500 0.250 Ta
0.500 0.000 0.750 Ta
0.500 0.500 0.500 Ta
0.000 0.000 0.500 Nb
0.000 0.500 0.750 Nb
0.500 0.000 0.250 Nb
0.500 0.500 0.000 Nb
0.250 0.250 0.125 B
0.250 0.250 0.625 B
0.250 0.750 0.375 B
0.250 0.750 0.875 B
0.750 0.250 0.375 B
0.750 0.250 0.875 B
0.750 0.750 0.125 B
0.750 0.750 0.625 B
```